1.
## MnBO2 (PBE+U)

Data for an optimized crystal structure of MnBO2.

Computed properties:
Theoretical density = 4.90 Mg/m³
VASP energy = -27.42 eV per formula unit

abc: 2.5825 2.5825 17.2060
angles: 90.00 90.00 120.00
Last column: nearest neighbours and their distance in Å.
Space group R-3m (No. 166, hexagonal axes)
Symmetry-distinct sites (fractional):
Mn 0.0000 0.0000 0.0000 x3  2 O 2.00
B 0.0000 0.0000 0.5000 x3  6 O 1.72
O 0.0000 0.0000 0.1163 x6  3 B 1.72

---

2.
## MnB2O (PBE+U)

Data for an optimized crystal structure of MnB2O.

Computed properties:
Theoretical density = 4.21 Mg/m³
VASP energy = -24.16 eV per formula unit

abc: 4.8122 4.8122 6.3129
angles: 90.00 90.00 90.00
Last column: nearest neighbours and their distance in Å.
Space group I-42d (No. 122)
Symmetry-distinct sites (fractional):
Mn 0.0000 0.0000 0.0000 x4  4 B 2.18
B 0.1603 0.2500 0.6250 x8  2 O 1.63
O 0.0000 0.0000 0.5000 x4  4 B 1.63

---

3.
## Mn2BO (PBE+U)

Data for an optimized crystal structure of Mn2BO.

Computed properties:
Theoretical density = 4.07 Mg/m³
VASP energy = -26.77 eV per formula unit

abc: 4.7725 4.7725 9.7853
angles: 90.00 90.00 90.00
Last column: nearest neighbours and their distance in Å.
Space group I-42d (No. 122)
Symmetry-distinct sites (fractional):
Mn 0.2402 0.2500 0.1250 x8  2 O 2.06, 2 B 2.11
B 0.0000 0.0000 0.5000 x4  4 Mn 2.11
O 0.0000 0.0000 0.0000 x4  4 Mn 2.06